Pr2Y2CICl4 after structural relaxation, computed with PBE.

The value obtained for the energy relative to the lowest polymorph listed for this composition is 0 meV per atom. As for the total magnetization: 0.01 μB/f.u.

The structure belongs to space group C2/m (No. 12); the cell edges are 17.318, 3.917 and 8.954 Å and the angles 90.00°, 103.56° and 90.00°. Symmetry generates all atoms from Pr at (0.001, 0.000, 0.304), Y at (0.143, 0.500, 0.571), C at (0.000, 0.500, 0.500), I at (0.000, 0.500, 0.000), Cl at (0.171, 0.000, 0.788) and Cl at (0.175, 0.000, 0.373).